First-principles (PBE with a Hubbard U) data for a relaxed Cr2Ag2PdO6 crystal, as listed in the Alexandria database.

a b c (Å): 5.2845 5.2845 6.4709
angles (deg): 97.11 97.11 119.87
Sites, in units of the cell vectors:
Cr  0.1620  0.8380  0.0000
Cr  0.8380  0.1620  0.0000
Ag  0.3347  0.6653  0.5000
Ag  0.6653  0.3347  0.5000
Pd  0.5000  0.5000  0.0000
O  0.1156  0.1156  0.8391
O  0.2136  0.5501  0.1632
O  0.4499  0.7864  0.8368
O  0.5501  0.2136  0.1632
O  0.7864  0.4499  0.8368
O  0.8844  0.8844  0.1609

Calculated values
Energy ... -67.12 eV per cell